Compound: InIrRu
Source: Alexandria
Functional: GGA-PBE
Structure: optimized geometry

Structure (CIF):
```
data_InIrRu
_chemical_formula_sum 'In1 Ir1 Ru1'
_symmetry_space_group_name_H-M 'P 3 m 1'
_symmetry_Int_Tables_number 156
_symmetry_space_group_name_Hall 'P 3 -2"'
_cell_length_a 2.8971
_cell_length_b 2.8971
_cell_length_c 6.7115
_cell_angle_alpha 90.00
_cell_angle_beta 90.00
_cell_angle_gamma 120.00
loop_
_atom_site_label
_atom_site_type_symbol
_atom_site_fract_x
_atom_site_fract_y
_atom_site_fract_z
In1 In 0.0000 0.0000 0.0000
Ir1 Ir 0.3333 0.6667 0.3511
Ru1 Ru 0.6667 0.3333 0.6558
```

Properties
The formation energy is 216 meV per atom. For the spin magnetization, the calculation gives 0.00 μB per cell. The calculation puts the total energy at -0.248 Ha/atom.



Compound: Ac3ZnGa2Ni6
Source: Alexandria
Functional: GGA-PBE
Structure: optimized geometry

Structure (CIF):
```
data_Ac3ZnGa2Ni6
_chemical_formula_sum 'Ac3 Zn1 Ga2 Ni6'
_symmetry_space_group_name_H-M 'P -3 m 1'
_symmetry_Int_Tables_number 164
_symmetry_space_group_name_Hall '-P 3 2"'
_cell_length_a 5.6787
_cell_length_b 5.6787
_cell_length_c 8.5707
_cell_angle_alpha 90.00
_cell_angle_beta 90.00
_cell_angle_gamma 120.00
loop_
_atom_site_label
_atom_site_type_symbol
_atom_site_fract_x
_atom_site_fract_y
_atom_site_fract_z
Ac1 Ac 0.0000 0.0000 0.0000
Ac2 Ac 0.3333 0.6667 0.6698
Zn1 Zn 0.0000 0.0000 0.5000
Ga1 Ga 0.3333 0.6667 0.0803
Ni1 Ni 0.1838 0.3676 0.3120
```

Properties
The formation energy is -238 meV per atom. For the spin magnetization, the calculation gives 0.00 μB per cell. The calculation puts the total energy at -0.175 Ha/atom.



Compound: ZrCr2Ir2
Source: Alexandria
Functional: GGA-PBE
Structure: optimized geometry

Structure (CIF):
```
data_ZrCr2Ir2
_chemical_formula_sum 'Zr2 Cr4 Ir4'
_symmetry_space_group_name_H-M 'P 4/m b m'
_symmetry_Int_Tables_number 127
_symmetry_space_group_name_Hall '-P 4 2ab'
_cell_length_a 7.392
_cell_length_b 7.392
_cell_length_c 2.734
_cell_angle_alpha 90.00
_cell_angle_beta 90.00
_cell_angle_gamma 90.00
loop_
_atom_site_label
_atom_site_type_symbol
_atom_site_fract_x
_atom_site_fract_y
_atom_site_fract_z
Zr1 Zr 0.000 0.000 0.000
Cr1 Cr 0.113 0.387 0.000
Ir1 Ir 0.176 0.676 0.500
```

Properties
The formation energy is -243 meV per atom. For the spin magnetization, the calculation gives 0.00 μB per cell. The calculation puts the total energy at -0.343 Ha/atom.



Compound: Tl2SiB2O6
Source: Alexandria
Functional: GGA-PBE
Structure: optimized geometry

Structure (CIF):
```
data_Tl2SiB2O6
_chemical_formula_sum 'Tl4 Si2 B4 O12'
_symmetry_space_group_name_H-M 'C 1 2/m 1'
_symmetry_Int_Tables_number 12
_symmetry_space_group_name_Hall '-C 2y'
_cell_length_a 8.476
_cell_length_b 4.893
_cell_length_c 8.171
_cell_angle_alpha 90.00
_cell_angle_beta 110.11
_cell_angle_gamma 90.00
loop_
_atom_site_label
_atom_site_type_symbol
_atom_site_fract_x
_atom_site_fract_y
_atom_site_fract_z
Tl1 Tl 0.226 0.000 0.179
Si1 Si 0.000 0.000 0.500
B1 B 0.123 0.500 0.373
O1 O 0.038 0.256 0.360
O2 O 0.217 0.000 0.637
```

Properties
For the spin magnetization, the calculation gives 0.00 μB per cell. The calculation puts the total energy at -0.250 Ha/atom.



Compound: CaDy2UP4
Source: Alexandria
Functional: GGA-PBE
Structure: optimized geometry

Structure (CIF):
```
data_CaDy2UP4
_chemical_formula_sum 'Ca2 Dy4 U2 P8'
_symmetry_space_group_name_H-M 'I -4 m 2'
_symmetry_Int_Tables_number 119
_symmetry_space_group_name_Hall 'I -4 -2'
_cell_length_a 5.667
_cell_length_b 5.667
_cell_length_c 11.330
_cell_angle_alpha 90.00
_cell_angle_beta 90.00
_cell_angle_gamma 90.00
loop_
_atom_site_label
_atom_site_type_symbol
_atom_site_fract_x
_atom_site_fract_y
_atom_site_fract_z
Ca1 Ca 0.000 0.000 0.000
Dy1 Dy 0.000 0.000 0.500
Dy2 Dy 0.000 0.500 0.250
U1 U 0.000 0.500 0.750
P1 P 0.000 0.000 0.254
P2 P 0.000 0.500 0.510
```

Properties
The formation energy is -1314 meV per atom. For the spin magnetization, the calculation gives 3.69 μB per cell. The calculation puts the total energy at -0.251 Ha/atom.



Compound: ErIn3S6
Source: Alexandria
Functional: GGA-PBE
Structure: optimized geometry

Structure (CIF):
```
data_ErIn3S6
_chemical_formula_sum 'Er2 In6 S12'
_symmetry_space_group_name_H-M 'P 1 21/m 1'
_symmetry_Int_Tables_number 11
_symmetry_space_group_name_Hall '-P 2yb'
_cell_length_a 10.859
_cell_length_b 3.871
_cell_length_c 11.269
_cell_angle_alpha 90.00
_cell_angle_beta 111.59
_cell_angle_gamma 90.00
loop_
_atom_site_label
_atom_site_type_symbol
_atom_site_fract_x
_atom_site_fract_y
_atom_site_fract_z
Er1 Er 0.199 0.250 0.049
In1 In 0.018 0.750 0.295
In2 In 0.334 0.250 0.436
In3 In 0.405 0.750 0.832
S1 S 0.037 0.750 0.902
S2 S 0.105 0.250 0.452
S3 S 0.237 0.750 0.251
S4 S 0.240 0.250 0.802
S5 S 0.408 0.750 0.071
S6 S 0.437 0.750 0.603
```

Properties
For the spin magnetization, the calculation gives 0.00 μB per cell. The calculation puts the total energy at -0.171 Ha/atom.



Compound: HfAsC2
Source: Alexandria
Functional: GGA-PBE
Structure: optimized geometry

Structure (CIF):
```
data_HfAsC2
_chemical_formula_sum 'Hf4 As4 C8'
_symmetry_space_group_name_H-M 'I -4 2 d'
_symmetry_Int_Tables_number 122
_symmetry_space_group_name_Hall 'I -4 2bw'
_cell_length_a 5.121
_cell_length_b 5.121
_cell_length_c 8.541
_cell_angle_alpha 90.00
_cell_angle_beta 90.00
_cell_angle_gamma 90.00
loop_
_atom_site_label
_atom_site_type_symbol
_atom_site_fract_x
_atom_site_fract_y
_atom_site_fract_z
Hf1 Hf 0.000 0.000 0.000
As1 As 0.000 0.000 0.500
C1 C 0.213 0.250 0.625
```

Properties
The formation energy is 548 meV per atom. For the spin magnetization, the calculation gives 0.00 μB per cell. The calculation puts the total energy at -0.284 Ha/atom.



Compound: Sm4InPd12
Source: Alexandria
Functional: GGA-PBE
Structure: optimized geometry

Structure (CIF):
```
data_Sm4InPd12
_chemical_formula_sum 'Sm8 In2 Pd24'
_symmetry_space_group_name_H-M 'I m -3 m'
_symmetry_Int_Tables_number 229
_symmetry_space_group_name_Hall '-I 4 2 3'
_cell_length_a 8.636
_cell_length_b 8.636
_cell_length_c 8.636
_cell_angle_alpha 90.00
_cell_angle_beta 90.00
_cell_angle_gamma 90.00
loop_
_atom_site_label
_atom_site_type_symbol
_atom_site_fract_x
_atom_site_fract_y
_atom_site_fract_z
Sm1 Sm 0.250 0.250 0.250
In1 In 0.000 0.000 0.000
Pd1 Pd 0.000 0.000 0.301
Pd2 Pd 0.000 0.250 0.500
```

Properties
The formation energy is -792 meV per atom. For the spin magnetization, the calculation gives 0.00 μB per cell. The calculation puts the total energy at -0.211 Ha/atom.



Compound: Ga2Co2Ge
Source: Alexandria
Functional: GGA-PBE
Structure: optimized geometry

Structure (CIF):
```
data_Ga2Co2Ge
_chemical_formula_sum 'Ga2 Co2 Ge1'
_symmetry_space_group_name_H-M 'P -3 m 1'
_symmetry_Int_Tables_number 164
_symmetry_space_group_name_Hall '-P 3 2"'
_cell_length_a 4.0025
_cell_length_b 4.0025
_cell_length_c 4.9610
_cell_angle_alpha 90.00
_cell_angle_beta 90.00
_cell_angle_gamma 120.00
loop_
_atom_site_label
_atom_site_type_symbol
_atom_site_fract_x
_atom_site_fract_y
_atom_site_fract_z
Ga1 Ga 0.3333 0.6667 0.3665
Co1 Co 0.3333 0.6667 0.8633
Ge1 Ge 0.0000 0.0000 0.0000
```

Properties
The formation energy is -264 meV per atom. For the spin magnetization, the calculation gives 0.00 μB per cell. The calculation puts the total energy at -0.193 Ha/atom.



Compound: PuMgTc2
Source: Alexandria
Functional: GGA-PBE
Structure: optimized geometry

Structure (CIF):
```
data_PuMgTc2
_chemical_formula_sum 'Pu1 Mg1 Tc2'
_symmetry_space_group_name_H-M 'P 4/m m m'
_symmetry_Int_Tables_number 123
_symmetry_space_group_name_Hall '-P 4 2'
_cell_length_a 3.312
_cell_length_b 3.312
_cell_length_c 6.358
_cell_angle_alpha 90.00
_cell_angle_beta 90.00
_cell_angle_gamma 90.00
loop_
_atom_site_label
_atom_site_type_symbol
_atom_site_fract_x
_atom_site_fract_y
_atom_site_fract_z
Pu1 Pu 0.000 0.000 0.000
Mg1 Mg 0.000 0.000 0.500
Tc1 Tc 0.500 0.500 0.232
```

Properties
The formation energy is 162 meV per atom. For the spin magnetization, the calculation gives 2.44 μB per cell. The calculation puts the total energy at -0.331 Ha/atom.



Compound: Ba2CuHg
Source: Alexandria
Functional: GGA-PBE
Structure: optimized geometry

Structure (CIF):
```
data_Ba2CuHg
_chemical_formula_sum 'Ba8 Cu4 Hg4'
_symmetry_space_group_name_H-M 'F -4 3 m'
_symmetry_Int_Tables_number 216
_symmetry_space_group_name_Hall 'F -4 2 3'
_cell_length_a 7.850
_cell_length_b 7.850
_cell_length_c 7.850
_cell_angle_alpha 90.00
_cell_angle_beta 90.00
_cell_angle_gamma 90.00
loop_
_atom_site_label
_atom_site_type_symbol
_atom_site_fract_x
_atom_site_fract_y
_atom_site_fract_z
Ba1 Ba 0.000 0.000 0.000
Ba2 Ba 0.250 0.250 0.250
Cu1 Cu 0.250 0.250 0.750
Hg1 Hg 0.000 0.000 0.500
```

Properties
The formation energy is 9 meV per atom. For the spin magnetization, the calculation gives 0.00 μB per cell. The calculation puts the total energy at -0.075 Ha/atom.



Compound: Nd6In2Pb
Source: Alexandria
Functional: GGA-PBE
Structure: optimized geometry

Structure (CIF):
```
data_Nd6In2Pb
_chemical_formula_sum 'Nd12 In4 Pb2'
_symmetry_space_group_name_H-M 'P n n m'
_symmetry_Int_Tables_number 58
_symmetry_space_group_name_Hall '-P 2 2n'
_cell_length_a 10.464
_cell_length_b 10.467
_cell_length_c 5.237
_cell_angle_alpha 90.00
_cell_angle_beta 90.00
_cell_angle_gamma 90.00
loop_
_atom_site_label
_atom_site_type_symbol
_atom_site_fract_x
_atom_site_fract_y
_atom_site_fract_z
Nd1 Nd 0.015 0.177 0.000
Nd2 Nd 0.131 0.631 0.500
Nd3 Nd 0.177 0.984 0.500
In1 In 0.198 0.301 0.500
Pb1 Pb 0.000 0.500 0.000
```

Properties
The formation energy is -303 meV per atom. For the spin magnetization, the calculation gives 0.07 μB per cell. The calculation puts the total energy at -0.165 Ha/atom.



Compound: Tl4Zn3
Source: Alexandria
Functional: GGA-PBE
Structure: optimized geometry

Structure (CIF):
```
data_Tl4Zn3
_chemical_formula_sum 'Tl4 Zn3'
_symmetry_space_group_name_H-M 'P 6/m m m'
_symmetry_Int_Tables_number 191
_symmetry_space_group_name_Hall '-P 6 2'
_cell_length_a 5.4552
_cell_length_b 5.4552
_cell_length_c 6.6600
_cell_angle_alpha 90.00
_cell_angle_beta 90.00
_cell_angle_gamma 120.00
loop_
_atom_site_label
_atom_site_type_symbol
_atom_site_fract_x
_atom_site_fract_y
_atom_site_fract_z
Tl1 Tl 0.0000 0.0000 0.2493
Tl2 Tl 0.3333 0.6667 0.0000
Zn1 Zn 0.0000 0.5000 0.5000
```

Properties
The formation energy is 90 meV per atom. For the spin magnetization, the calculation gives 0.00 μB per cell. The calculation puts the total energy at -0.066 Ha/atom.